A plane-wave DFT calculation with GGA-PBE was carried out for a relaxed NaZrGe2 crystal.

Computed properties:
SG = P1 (1)
Energy above the most stable polymorph in this dataset = 0.13 eV/f.u.

Unit cell a=3.7539 b=5.4159 c=9.0301 alpha=79.25 beta=78.27 gamma=89.94
With the nearest neighbours (Å) after each atom.
Positions (direct):
Na1 0.0000 0.0000 0.0000  5 Ge 3.07-3.14
Na2 0.4346 0.4524 0.1281  5 Ge 2.94-3.11
Zr1 0.2053 0.0193 0.6000  7 Ge 2.78-3.08
Zr2 0.7617 0.5952 0.4858  7 Ge 2.77-3.05
Ge1 0.1432 0.4490 0.7291  2 Ge 2.57, 3 Zr 2.78-2.85
Ge2 0.3605 0.8871 0.2831  2 Ge 2.57, 2 Zr 2.86
Ge3 0.6070 0.7289 0.8012  2 Ge 2.57, 2 Zr 2.84-2.85
Ge4 0.8209 0.1608 0.3634  2 Ge 2.57, 3 Zr 2.77-2.81

***

A plane-wave DFT calculation with GGA-PBE was carried out for a relaxed NaZrGe2 crystal.

Computed properties:
SG = P4/mmm (123)
Energy above the most stable polymorph in this dataset = 0.32 eV/f.u.

Unit cell a=3.0160 b=3.0160 c=8.8999 alpha=90.00 beta=90.00 gamma=90.00
With the nearest neighbours (Å) after each atom.
Positions (direct):
Na1 0.0000 0.0000 0.0000  4 Na 3.02, 8 Ge 3.19
Zr1 0.0000 0.0000 0.5000  8 Ge 2.98, 4 Zr 3.02
Ge1 0.5000 0.5000 0.2662  4 Zr 2.98, 4 Ge 3.02, 4 Na 3.19
Ge2 0.5000 0.5000 0.7338  4 Zr 2.98, 4 Ge 3.02, 4 Na 3.19

***

A plane-wave DFT calculation with GGA-PBE was carried out for a relaxed NaZr2Ge2 crystal.

Computed properties:
SG = P4/mbm (127)
Energy above the most stable polymorph in this dataset = 0.00 eV/f.u.

Unit cell a=7.1819 b=7.1819 c=3.8708 alpha=90.00 beta=90.00 gamma=90.00
With the nearest neighbours (Å) after each atom.
Positions (direct):
Na1 0.0000 0.0000 0.0000  4 Ge 2.84
Na2 0.5000 0.5000 0.0000  4 Ge 2.84
Zr1 0.1741 0.3259 0.5000  6 Ge 2.81-2.91
Zr2 0.3259 0.8259 0.5000  6 Ge 2.81-2.91
Zr3 0.6741 0.1741 0.5000  6 Ge 2.81-2.91
Zr4 0.8259 0.6741 0.5000  6 Ge 2.81-2.91
Ge1 0.1247 0.6247 0.0000  1 Ge 2.53, 2 Zr 2.81
Ge2 0.3753 0.1247 0.0000  1 Ge 2.53, 2 Zr 2.81
Ge3 0.6247 0.8753 0.0000  1 Ge 2.53, 2 Zr 2.81
Ge4 0.8753 0.3753 0.0000  1 Ge 2.53, 2 Zr 2.81

***

A plane-wave DFT calculation with GGA-PBE was carried out for a relaxed NaZrGe2 crystal.

Computed properties:
SG = Cmmm (65)
Energy above the most stable polymorph in this dataset = 0.22 eV/f.u.

Unit cell a=9.0401 b=9.0401 c=3.0928 alpha=90.00 beta=90.00 gamma=139.07
With the nearest neighbours (Å) after each atom.
Positions (direct):
Na1 0.0000 0.0000 0.0000  4 Na 3.09-3.16, 8 Ge 3.36
Na2 0.5000 0.5000 0.0000  8 Ge 3.08, 4 Na 3.09-3.16
Zr1 0.2297 0.7703 0.0000  8 Ge 2.89-3.02, 2 Zr 3.09
Zr2 0.7703 0.2297 0.0000  8 Ge 2.89-3.02, 2 Zr 3.09
Ge1 0.1586 0.4336 0.5000  1 Ge 2.58
Ge2 0.4336 0.1586 0.5000  1 Ge 2.58
Ge3 0.5664 0.8414 0.5000  1 Ge 2.58
Ge4 0.8414 0.5664 0.5000  1 Ge 2.58

***

A plane-wave DFT calculation with GGA-PBE was carried out for a relaxed NaZrGe2 crystal.

Computed properties:
SG = Fm-3m (225)
Energy above the most stable polymorph in this dataset = 1.38 eV/f.u.

Unit cell a=4.8350 b=4.8350 c=4.8350 alpha=60.00 beta=60.00 gamma=60.00
With the nearest neighbours (Å) after each atom.
Positions (direct):
Na1 0.0000 0.0000 0.0000  8 Ge 2.96
Zr1 0.5000 0.5000 0.5000  8 Ge 2.96
Ge1 0.2500 0.2500 0.2500  4 Zr 2.96, 4 Na 2.96
Ge2 0.7500 0.7500 0.7500  4 Zr 2.96, 4 Na 2.96

***

A plane-wave DFT calculation with GGA-PBE was carried out for a relaxed NaZrGe2 crystal.

Computed properties:
SG = P1 (1)
Energy above the most stable polymorph in this dataset = 0.21 eV/f.u.

Unit cell a=3.0314 b=5.1880 c=10.3250 alpha=90.04 beta=91.17 gamma=90.25
With the nearest neighbours (Å) after each atom.
Positions (direct):
Na1 0.0000 0.0000 0.0000  4 Na 3.03-3.28, 8 Ge 3.09-3.25
Na2 0.0096 0.5005 0.1943  4 Na 3.03-3.28, 8 Ge 3.08-3.25
Zr1 0.0894 0.7993 0.4954  7 Ge 2.78-3.11, 2 Zr 3.03
Zr2 0.9214 0.2988 0.6986  7 Ge 2.78-3.10, 2 Zr 3.03
Ge1 0.4810 0.5019 0.9210  1 Ge 2.54
Ge2 0.5020 0.8286 0.7385  1 Ge 2.54, 2 Zr 2.78-2.79
Ge3 0.5056 0.3301 0.4559  1 Ge 2.54, 2 Zr 2.78-2.79
Ge4 0.5266 0.0030 0.2735  1 Ge 2.54

***

A plane-wave DFT calculation with GGA-PBE was carried out for a relaxed Nb5Ge crystal.

Computed properties:
SG = Cmmm (65)

Unit cell a=7.2261 b=7.2261 c=3.4759 alpha=90.00 beta=90.00 gamma=144.01
With the nearest neighbours (Å) after each atom.
Positions (direct):
Nb1 0.0000 0.0000 0.0000  4 Nb 2.81, 4 Ge 2.83
Nb2 0.1610 0.8390 0.5000  8 Nb 2.81-2.94, 2 Ge 3.14
Nb3 0.3332 0.6668 0.0000  6 Nb 2.83-2.94, 2 Ge 2.88
Nb4 0.6668 0.3332 0.0000  6 Nb 2.83-2.94, 2 Ge 2.88
Nb5 0.8390 0.1610 0.5000  8 Nb 2.81-2.94, 2 Ge 3.14
Ge1 0.5000 0.5000 0.5000  12 Nb 2.83-3.14

***

A plane-wave DFT calculation with GGA-PBE was carried out for a relaxed NbGe3 crystal.

Computed properties:
SG = Imm2 (44)

Unit cell a=5.1123 b=5.1123 c=5.1123 alpha=139.95 beta=72.37 gamma=122.50
With the nearest neighbours (Å) after each atom.
Positions (direct):
Nb1 0.0000 0.0000 0.0000  8 Ge 2.73-2.76
Ge1 0.0714 0.3363 0.7351  3 Nb 2.73-2.74, 7 Ge 2.77-3.03
Ge2 0.4348 0.9348 0.5000  2 Nb 2.76, 6 Ge 2.77-2.84
Ge3 0.6012 0.3363 0.2649  3 Nb 2.73-2.74, 7 Ge 2.77-3.03

***

A plane-wave DFT calculation with GGA-PBE was carried out for a relaxed NbGe crystal.

Computed properties:
SG = P6_3/mmc (194)

Unit cell a=4.4879 b=4.4879 c=5.1369 alpha=90.00 beta=90.00 gamma=120.00
With the nearest neighbours (Å) after each atom.
Positions (direct):
Nb1 0.3333 0.6667 0.2500  5 Ge 2.57-2.59
Nb2 0.6667 0.3333 0.7500  5 Ge 2.57-2.59
Ge1 0.3333 0.6667 0.7500  5 Nb 2.57-2.59
Ge2 0.6667 0.3333 0.2500  5 Nb 2.57-2.59

***

A plane-wave DFT calculation with GGA-PBE was carried out for a relaxed Nb3Ge crystal.

Computed properties:
SG = P4_2/n (86)
Energy above the most stable polymorph in this dataset = 0.00 eV/f.u.

Unit cell a=10.3687 b=10.3687 c=5.2828 alpha=90.00 beta=90.00 gamma=90.00
With the nearest neighbours (Å) after each atom.
Positions (direct):
Nb1 0.0371 0.9403 0.2356  3 Ge 2.63-2.90, 3 Nb 2.88-2.93
Nb2 0.0597 0.5371 0.7356  3 Ge 2.63-2.90, 3 Nb 2.88-2.93
Nb3 0.1013 0.2663 0.0283  4 Ge 2.63-2.73, 2 Nb 2.92-2.93
Nb4 0.1540 0.8341 0.7147  1 Nb 2.65, 2 Ge 2.66-2.70
Nb5 0.1659 0.6540 0.2147  1 Nb 2.65, 2 Ge 2.66-2.70
Nb6 0.2337 0.1013 0.4717  4 Ge 2.63-2.73, 2 Nb 2.92-2.93
Nb7 0.2663 0.3987 0.4717  4 Ge 2.63-2.73, 2 Nb 2.92-2.93
Nb8 0.3341 0.8460 0.2147  1 Nb 2.65, 2 Ge 2.66-2.70
Nb9 0.3460 0.6659 0.7147  1 Nb 2.65, 2 Ge 2.66-2.70
Nb10 0.3987 0.2337 0.0283  4 Ge 2.63-2.73, 2 Nb 2.92-2.93
Nb11 0.4403 0.9629 0.7356  3 Ge 2.63-2.90, 3 Nb 2.88-2.93
Nb12 0.4629 0.5597 0.2356  3 Ge 2.63-2.90, 3 Nb 2.88-2.93
Nb13 0.5371 0.4403 0.7644  3 Ge 2.63-2.90, 3 Nb 2.88-2.93
Nb14 0.5597 0.0371 0.2644  3 Ge 2.63-2.90, 3 Nb 2.88-2.93
Nb15 0.6013 0.7663 0.9717  4 Ge 2.63-2.73, 2 Nb 2.92-2.93
Nb16 0.6540 0.3341 0.2853  1 Nb 2.65, 2 Ge 2.66-2.70
Nb17 0.6659 0.1540 0.7853  1 Nb 2.65, 2 Ge 2.66-2.70
Nb18 0.7337 0.6013 0.5283  4 Ge 2.63-2.73, 2 Nb 2.92-2.93
Nb19 0.7663 0.8987 0.5283  4 Ge 2.63-2.73, 2 Nb 2.92-2.93
Nb20 0.8341 0.3460 0.7853  1 Nb 2.65, 2 Ge 2.66-2.70
Nb21 0.8460 0.1659 0.2853  1 Nb 2.65, 2 Ge 2.66-2.70
Nb22 0.8987 0.7337 0.9717  4 Ge 2.63-2.73, 2 Nb 2.92-2.93
Nb23 0.9403 0.4629 0.2644  3 Ge 2.63-2.90, 3 Nb 2.88-2.93
Nb24 0.9629 0.0597 0.7644  3 Ge 2.63-2.90, 3 Nb 2.88-2.93
Ge1 0.0454 0.2772 0.5324  9 Nb 2.63-2.90
Ge2 0.2228 0.0454 0.9676  9 Nb 2.63-2.90
Ge3 0.2772 0.4546 0.9676  9 Nb 2.63-2.90
Ge4 0.4546 0.2228 0.5324  9 Nb 2.63-2.90
Ge5 0.5454 0.7772 0.4676  9 Nb 2.63-2.90
Ge6 0.7228 0.5454 0.0324  9 Nb 2.63-2.90
Ge7 0.7772 0.9546 0.0324  9 Nb 2.63-2.90
Ge8 0.9546 0.7228 0.4676  9 Nb 2.63-2.90

***

A plane-wave DFT calculation with GGA-PBE was carried out for a relaxed NbGe crystal.

Computed properties:
SG = I-43m (217)

Unit cell a=6.9916 b=6.9916 c=6.9916 alpha=109.47 beta=109.47 gamma=109.47
With the nearest neighbours (Å) after each atom.
Positions (direct):
Nb1 0.0000 0.0000 0.2558  4 Ge 2.61-2.62, 3 Nb 2.92
Nb2 0.0000 0.2558 0.0000  4 Ge 2.61-2.62, 3 Nb 2.92
Nb3 0.2558 0.0000 0.0000  4 Ge 2.61-2.62, 3 Nb 2.92
Nb4 0.7442 0.7442 0.7442  4 Ge 2.61-2.62, 3 Nb 2.92
Ge1 0.0000 0.0000 0.6288  4 Nb 2.61-2.62
Ge2 0.0000 0.6288 0.0000  4 Nb 2.61-2.62
Ge3 0.3712 0.3712 0.3712  4 Nb 2.61-2.62
Ge4 0.6288 0.0000 0.0000  4 Nb 2.61-2.62

***

A plane-wave DFT calculation with GGA-PBE was carried out for a relaxed Nb3Ge crystal.

Computed properties:
SG = Pm-3n (223)
Energy above the most stable polymorph in this dataset = 0.20 eV/f.u.

Unit cell a=5.1826 b=5.1826 c=5.1826 alpha=90.00 beta=90.00 gamma=90.00
With the nearest neighbours (Å) after each atom.
Positions (direct):
Nb1 0.0000 0.2500 0.5000  2 Nb 2.59, 4 Ge 2.90
Nb2 0.0000 0.7500 0.5000  2 Nb 2.59, 4 Ge 2.90
Nb3 0.2500 0.5000 0.0000  2 Nb 2.59, 4 Ge 2.90
Nb4 0.5000 0.0000 0.2500  2 Nb 2.59, 4 Ge 2.90
Nb5 0.5000 0.0000 0.7500  2 Nb 2.59, 4 Ge 2.90
Nb6 0.7500 0.5000 0.0000  2 Nb 2.59, 4 Ge 2.90
Ge1 0.0000 0.0000 0.0000  12 Nb 2.90
Ge2 0.5000 0.5000 0.5000  12 Nb 2.90

***

Computed energy, in the same sequence as the records: -5.130 -5.083 -5.915 -5.108 -4.816 -5.110 -9.331 -5.968 -7.187 -9.049 -6.579 -8.998 eV/atom.
Computed energy of formation, in the same sequence as the records: -8.176 -7.082 -8.873 -7.669 -0.937 -7.726 -3.923 0.284 3.602 -7.884 17.638 -6.722 kcal/mol of atoms.